(1)
DFT (PBE) results for an optimized crystal structure of BeTcIr2.

Cell: 2.806 4.319 8.541 Å, 90.00 90.00 90.00°
Space group Imm2 (No. 44)
One atom of each set of equivalent atoms:
Be 0.000 0.000 0.000 x2
Tc 0.000 0.500 0.274 x2
Ir 0.000 0.000 0.496 x2
Ir 0.000 0.500 0.711 x2

Properties
- Energy relative to the elements: -0.2017 eV per atom


(2)
DFT (PBE) results for an optimized crystal structure of Ca4TlHg3.

Cell: 3.946 5.003 11.856 Å, 90.00 90.00 90.00°
Space group Pmm2 (No. 25)
One atom of each set of equivalent atoms:
Ca 0.000 0.000 0.000 x1
Ca 0.000 0.500 0.286 x1
Ca 0.500 0.000 0.495 x1
Ca 0.500 0.500 0.786 x1
Tl 0.000 0.000 0.724 x1
Hg 0.000 0.500 0.557 x1
Hg 0.500 0.000 0.225 x1
Hg 0.500 0.500 0.059 x1

Properties
- Energy relative to the elements: -0.4702 eV per atom
- Excess energy over the best structure of this formula in the dataset: 55 meV per atom


(3)
DFT (PBE) results for an optimized crystal structure of Ca4TlIn.

Cell: 13.815 3.919 7.724 Å, 90.00 106.30 90.00°
Space group C2/m (No. 12)
One atom of each set of equivalent atoms:
Ca 0.141 0.000 0.320 x4
Ca 0.142 0.000 0.822 x4
Tl 0.000 0.500 0.500 x2
In 0.000 0.500 0.000 x2

Properties
- Energy relative to the elements: -0.3173 eV per atom
- Excess energy over the best structure of this formula in the dataset: 0 meV per atom


(4)
DFT (PBE) results for an optimized crystal structure of TlCu3.

Cell: 8.831 3.028 4.758 Å, 90.00 103.60 90.00°
Space group C2/m (No. 12)
One atom of each set of equivalent atoms:
Tl 0.000 0.000 0.000 x2
Cu 0.000 0.500 0.500 x2
Cu 0.238 0.000 0.709 x4

Properties
- Energy relative to the elements: 0.2637 eV per atom